--- a ---
# Ir3OsO PBE relaxed
data_Ir3OsO
_cell_length_a 4.7404
_cell_length_b 4.7404
_cell_length_c 4.7404
_cell_angle_alpha 90.00
_cell_angle_beta 90.00
_cell_angle_gamma 90.00
_symmetry_space_group_name_H-M 'P m -3 m'
_symmetry_Int_Tables_number 221
_symmetry_space_group_name_Hall '-P 4 2 3'
loop_
_atom_site_label
_atom_site_fract_x
_atom_site_fract_y
_atom_site_fract_z
Ir1 0.0000 0.0000 0.5000
Os1 0.0000 0.0000 0.0000
O1 0.5000 0.5000 0.5000
# Total magnetic moment = 0.453 μB/atom

--- b ---
# Ir3OsO PBE relaxed
data_Ir3OsO
_cell_length_a 4.1085
_cell_length_b 4.1085
_cell_length_c 4.1085
_cell_angle_alpha 90.00
_cell_angle_beta 90.00
_cell_angle_gamma 90.00
_symmetry_space_group_name_H-M 'P m -3 m'
_symmetry_Int_Tables_number 221
_symmetry_space_group_name_Hall '-P 4 2 3'
loop_
_atom_site_label
_atom_site_fract_x
_atom_site_fract_y
_atom_site_fract_z
Ir1 0.0000 0.0000 0.5000
Os1 0.5000 0.5000 0.5000
O1 0.0000 0.0000 0.0000
# Total magnetic moment = 0.000 μB/atom

Relative energy table, unit eV/atom: a 1.301; b 0.000

--- a ---
# P3IrO PBE relaxed
data_P3IrO
_cell_length_a 4.0553
_cell_length_b 4.0553
_cell_length_c 4.0553
_cell_angle_alpha 90.00
_cell_angle_beta 90.00
_cell_angle_gamma 90.00
_symmetry_space_group_name_H-M 'P m -3 m'
_symmetry_Int_Tables_number 221
_symmetry_space_group_name_Hall '-P 4 2 3'
loop_
_atom_site_label
_atom_site_fract_x
_atom_site_fract_y
_atom_site_fract_z
P1 0.0000 0.0000 0.5000
Ir1 0.5000 0.5000 0.5000
O1 0.0000 0.0000 0.0000
# Total magnetic moment = 0.000 μB/atom

--- b ---
# P3IrO PBE relaxed
data_P3IrO
_cell_length_a 4.5935
_cell_length_b 4.5935
_cell_length_c 4.5935
_cell_angle_alpha 90.00
_cell_angle_beta 90.00
_cell_angle_gamma 90.00
_symmetry_space_group_name_H-M 'P m -3 m'
_symmetry_Int_Tables_number 221
_symmetry_space_group_name_Hall '-P 4 2 3'
loop_
_atom_site_label
_atom_site_fract_x
_atom_site_fract_y
_atom_site_fract_z
P1 0.0000 0.0000 0.5000
Ir1 0.0000 0.0000 0.0000
O1 0.5000 0.5000 0.5000
# Total magnetic moment = 0.298 μB/atom

Relative energy table, unit eV/atom: a 0.000; b 0.586

--- a ---
# PIrPbO2 PBE relaxed
data_PIrPbO2
_cell_length_a 3.9416
_cell_length_b 3.9416
_cell_length_c 6.1854
_cell_angle_alpha 90.00
_cell_angle_beta 90.00
_cell_angle_gamma 90.00
_symmetry_space_group_name_H-M 'P 4/m m m'
_symmetry_Int_Tables_number 123
_symmetry_space_group_name_Hall '-P 4 2'
loop_
_atom_site_label
_atom_site_fract_x
_atom_site_fract_y
_atom_site_fract_z
P1 0.0000 0.0000 0.0000
Ir1 0.5000 0.5000 0.0000
Pb1 0.0000 0.0000 0.5000
O1 0.0000 0.5000 0.5000
# Total magnetic moment = 0.341 μB/atom

--- b ---
# PIrPbO2 PBE relaxed
data_PIrPbO2
_cell_length_a 3.7665
_cell_length_b 3.7665
_cell_length_c 6.8936
_cell_angle_alpha 90.00
_cell_angle_beta 90.00
_cell_angle_gamma 90.00
_symmetry_space_group_name_H-M 'P 4/m m m'
_symmetry_Int_Tables_number 123
_symmetry_space_group_name_Hall '-P 4 2'
loop_
_atom_site_label
_atom_site_fract_x
_atom_site_fract_y
_atom_site_fract_z
P1 0.0000 0.0000 0.0000
Ir1 0.5000 0.5000 0.5000
Pb1 0.5000 0.5000 0.0000
O1 0.0000 0.5000 0.5000
# Total magnetic moment = 0.000 μB/atom

Relative energy table, unit eV/atom: a 0.932; b 0.000

--- a ---
# P2IrPdO PBE relaxed
data_P2IrPdO
_cell_length_a 4.6846
_cell_length_b 4.6846
_cell_length_c 3.6770
_cell_angle_alpha 90.00
_cell_angle_beta 90.00
_cell_angle_gamma 90.00
_symmetry_space_group_name_H-M 'P 4/m m m'
_symmetry_Int_Tables_number 123
_symmetry_space_group_name_Hall '-P 4 2'
loop_
_atom_site_label
_atom_site_fract_x
_atom_site_fract_y
_atom_site_fract_z
P1 0.0000 0.5000 0.0000
Ir1 0.0000 0.0000 0.5000
Pd1 0.5000 0.5000 0.0000
O1 0.5000 0.5000 0.5000
# Total magnetic moment = 0.000 μB/atom

--- b ---
# P2IrPdO PBE relaxed
data_P2IrPdO
_cell_length_a 4.7596
_cell_length_b 4.7596
_cell_length_c 3.6522
_cell_angle_alpha 90.00
_cell_angle_beta 90.00
_cell_angle_gamma 90.00
_symmetry_space_group_name_H-M 'P 4/m m m'
_symmetry_Int_Tables_number 123
_symmetry_space_group_name_Hall '-P 4 2'
loop_
_atom_site_label
_atom_site_fract_x
_atom_site_fract_y
_atom_site_fract_z
P1 0.0000 0.5000 0.0000
Ir1 0.0000 0.0000 0.0000
Pd1 0.5000 0.5000 0.5000
O1 0.0000 0.0000 0.5000
# Total magnetic moment = 0.000 μB/atom

Relative energy table, unit eV/atom: a 0.596; b 0.000

--- a ---
# RbPIrO2 PBE relaxed
data_RbPIrO2
_cell_length_a 3.8477
_cell_length_b 3.8477
_cell_length_c 8.0406
_cell_angle_alpha 90.00
_cell_angle_beta 90.00
_cell_angle_gamma 90.00
_symmetry_space_group_name_H-M 'P 4/m m m'
_symmetry_Int_Tables_number 123
_symmetry_space_group_name_Hall '-P 4 2'
loop_
_atom_site_label
_atom_site_fract_x
_atom_site_fract_y
_atom_site_fract_z
Rb1 0.0000 0.0000 0.0000
P1 0.0000 0.0000 0.5000
Ir1 0.5000 0.5000 0.5000
O1 0.0000 0.5000 0.0000
# Total magnetic moment = 0.080 μB/atom

--- b ---
# RbPIrO2 PBE relaxed
data_RbPIrO2
_cell_length_a 4.2438
_cell_length_b 4.2438
_cell_length_c 4.5553
_cell_angle_alpha 90.00
_cell_angle_beta 90.00
_cell_angle_gamma 90.00
_symmetry_space_group_name_H-M 'P 4/m m m'
_symmetry_Int_Tables_number 123
_symmetry_space_group_name_Hall '-P 4 2'
loop_
_atom_site_label
_atom_site_fract_x
_atom_site_fract_y
_atom_site_fract_z
Rb1 0.0000 0.0000 0.0000
P1 0.5000 0.5000 0.0000
Ir1 0.5000 0.5000 0.5000
O1 0.0000 0.5000 0.5000
# Total magnetic moment = 0.349 μB/atom

Relative energy table, unit eV/atom: a 1.843; b 0.000

--- a ---
# RbP2IrO PBE relaxed
data_RbP2IrO
_cell_length_a 4.5309
_cell_length_b 4.5309
_cell_length_c 4.9448
_cell_angle_alpha 90.00
_cell_angle_beta 90.00
_cell_angle_gamma 90.00
_symmetry_space_group_name_H-M 'P 4/m m m'
_symmetry_Int_Tables_number 123
_symmetry_space_group_name_Hall '-P 4 2'
loop_
_atom_site_label
_atom_site_fract_x
_atom_site_fract_y
_atom_site_fract_z
Rb1 0.0000 0.0000 0.0000
P1 0.0000 0.5000 0.5000
Ir1 0.5000 0.5000 0.5000
O1 0.5000 0.5000 0.0000
# Total magnetic moment = 0.060 μB/atom

--- b ---
# RbP2IrO PBE relaxed
data_RbP2IrO
_cell_length_a 6.5605
_cell_length_b 6.5605
_cell_length_c 5.9792
_cell_angle_alpha 90.00
_cell_angle_beta 90.00
_cell_angle_gamma 90.00
_symmetry_space_group_name_H-M 'P 4/m m m'
_symmetry_Int_Tables_number 123
_symmetry_space_group_name_Hall '-P 4 2'
loop_
_atom_site_label
_atom_site_fract_x
_atom_site_fract_y
_atom_site_fract_z
Rb1 0.0000 0.0000 0.0000
P1 0.0000 0.5000 0.0000
Ir1 0.0000 0.0000 0.5000
O1 0.5000 0.5000 0.5000
# Total magnetic moment = 1.290 μB/atom

Relative energy table, unit eV/atom: a 0.000; b 2.704

--- a ---
# ReP2IrO PBE relaxed
data_ReP2IrO
_cell_length_a 4.7172
_cell_length_b 4.7172
_cell_length_c 3.6247
_cell_angle_alpha 90.00
_cell_angle_beta 90.00
_cell_angle_gamma 90.00
_symmetry_space_group_name_H-M 'P 4/m m m'
_symmetry_Int_Tables_number 123
_symmetry_space_group_name_Hall '-P 4 2'
loop_
_atom_site_label
_atom_site_fract_x
_atom_site_fract_y
_atom_site_fract_z
Re1 0.0000 0.0000 0.0000
P1 0.0000 0.5000 0.0000
Ir1 0.5000 0.5000 0.5000
O1 0.0000 0.0000 0.5000
# Total magnetic moment = 0.014 μB/atom

--- b ---
# ReP2IrO PBE relaxed
data_ReP2IrO
_cell_length_a 4.7482
_cell_length_b 4.7482
_cell_length_c 3.6139
_cell_angle_alpha 90.00
_cell_angle_beta 90.00
_cell_angle_gamma 90.00
_symmetry_space_group_name_H-M 'P 4/m m m'
_symmetry_Int_Tables_number 123
_symmetry_space_group_name_Hall '-P 4 2'
loop_
_atom_site_label
_atom_site_fract_x
_atom_site_fract_y
_atom_site_fract_z
Re1 0.0000 0.0000 0.0000
P1 0.0000 0.5000 0.5000
Ir1 0.5000 0.5000 0.5000
O1 0.5000 0.5000 0.0000
# Total magnetic moment = 0.426 μB/atom

Relative energy table, unit eV/atom: a 0.000; b 0.450

--- a ---
# P2IrRhO PBE relaxed
data_P2IrRhO
_cell_length_a 4.7286
_cell_length_b 4.7286
_cell_length_c 3.6194
_cell_angle_alpha 90.00
_cell_angle_beta 90.00
_cell_angle_gamma 90.00
_symmetry_space_group_name_H-M 'P 4/m m m'
_symmetry_Int_Tables_number 123
_symmetry_space_group_name_Hall '-P 4 2'
loop_
_atom_site_label
_atom_site_fract_x
_atom_site_fract_y
_atom_site_fract_z
P1 0.0000 0.5000 0.0000
Ir1 0.0000 0.0000 0.0000
Rh1 0.5000 0.5000 0.5000
O1 0.0000 0.0000 0.5000
# Total magnetic moment = 0.000 μB/atom

--- b ---
# P2IrRhO PBE relaxed
data_P2IrRhO
_cell_length_a 4.6805
_cell_length_b 4.6805
_cell_length_c 3.5828
_cell_angle_alpha 90.00
_cell_angle_beta 90.00
_cell_angle_gamma 90.00
_symmetry_space_group_name_H-M 'P 4/m m m'
_symmetry_Int_Tables_number 123
_symmetry_space_group_name_Hall '-P 4 2'
loop_
_atom_site_label
_atom_site_fract_x
_atom_site_fract_y
_atom_site_fract_z
P1 0.0000 0.5000 0.0000
Ir1 0.0000 0.0000 0.5000
Rh1 0.5000 0.5000 0.0000
O1 0.5000 0.5000 0.5000
# Total magnetic moment = 0.000 μB/atom

Relative energy table, unit eV/atom: a 0.000; b 0.181